5
Lattice="3.966 0.000 0.000 0.000 3.966 0.000 1.983 1.983 5.697" Properties=species:S:1:pos:R:3 comment="PBE Al2Cu2Pb, optimized geometry" e_above_lowest_polymorph_mev_per_atom=0 ef_ev_per_atom=0.02 m_tot_mub_per_fu=0.0 dft_energy_ev_per_atom=-3.853 pbc="T T T"
Pb 0.000 0.000 0.000
Al 3.966 1.983 2.848
Al 1.983 3.966 2.848
Cu 1.983 1.983 1.282
Cu 3.966 3.966 4.415